[1]
Pb5I2F8: optimized geometry, PBEsol.

ΔE_f (raw): -1.957 eV/atom
magnetic moment: 0.00 μB per cell
E_tot: -68.31 eV/cell

abc: 4.2596 4.2596 18.9448
angles: 83.55 83.55 60.00
Closest atoms and distances in Å follow each position.
Sites, in units of the cell vectors:
1 F 0.1466 0.1466 0.5601  4 Pb 2.48-2.50, 3 F 2.60
2 F 0.2430 0.2430 0.2709  3 Pb 2.52
3 F 0.3424 0.3424 0.9728  4 Pb 2.47-2.59, 3 F 2.67
4 F 0.5175 0.5175 0.4476  4 Pb 2.41-2.49
5 F 0.8793 0.8793 0.3622  1 Pb 2.28
6 F 0.0481 0.0481 0.8558  4 Pb 2.40-2.49
7 F 0.6940 0.6940 0.9179  6 F 2.67-2.72, 6 Pb 2.75-2.91
8 F 0.8280 0.8280 0.5160  7 F 2.60-2.89, 3 Pb 2.70
9 I 0.7618 0.7618 0.7145  6 Pb 3.34-3.58, 4 F 3.62-3.73
10 I 0.6264 0.6264 0.1209  6 Pb 3.34-3.57, 3 F 3.71
11 Pb 0.0055 0.0055 0.9835  4 F 2.40-2.47
12 Pb 0.3884 0.3884 0.8347  4 F 2.49-2.59
13 Pb 0.4747 0.4747 0.5758  4 F 2.41-2.48
14 Pb 0.1911 0.1911 0.4268  7 F 2.49-2.74
15 Pb 0.9197 0.9197 0.2409  4 F 2.28-2.52



[2]
LiCa2Ru: optimized geometry, PBEsol.

energy relative to the elements: 1.6 eV/f.u.
magnetic moment: 0.00 μB per cell
E_tot: -14.76 eV/cell

abc: 3.2008 4.4530 7.4088
angles: 96.02 90.00 111.06
Closest atoms and distances in Å follow each position.
Sites, in units of the cell vectors:
1 Ca 0.7686 0.5371 0.7980  3 Ru 2.80-2.82, 1 Li 3.09
2 Ca 0.2314 0.4629 0.2020  3 Ru 2.80-2.82, 1 Li 3.09
3 Li 0.0000 0.0000 0.5000  6 Ca 3.09-3.36, 2 Li 3.20
4 Ru 0.5000 0.0000 0.0000  6 Ca 2.80-2.82



[3]
SrTl2Te: optimized geometry, PBEsol.

ΔE_f (raw): -0.624 eV/atom
magnetic moment: 0.00 μB per cell
relative energy among the computed polymorphs: 0 meV/atom
E_tot: -13.12 eV/cell

abc: 4.2537 5.0171 6.0109
angles: 103.34 90.00 90.00
Closest atoms and distances in Å follow each position.
Sites, in units of the cell vectors:
1 Sr 0.5000 0.0000 0.5000  4 Te 3.29, 6 Tl 3.44-3.68
2 Te 0.0000 0.5000 0.5000  4 Sr 3.29, 6 Tl 3.44-3.68
3 Tl 0.0000 0.0000 0.0000  4 Tl 3.29, 2 Te 3.44, 4 Sr 3.68
4 Tl 0.5000 0.5000 0.0000  4 Tl 3.29, 2 Sr 3.44, 4 Te 3.68



[4]
Na2SrSb2: optimized geometry, PBEsol.

ΔE_f (raw): -0.539 eV/atom
magnetic moment: 0.00 μB per cell
E_tot: -16.45 eV/cell

abc: 4.7251 4.7251 7.6058
angles: 108.10 108.10 90.00
Closest atoms and distances in Å follow each position.
Sites, in units of the cell vectors:
1 Sb 0.3962 0.3962 0.7924  1 Sb 2.84, 4 Na 3.09
2 Sb 0.6038 0.6038 0.2076  1 Sb 2.84, 4 Na 3.09
3 Sr 0.0000 0.0000 0.0000  8 Sb 3.63
4 Na 0.2500 0.7500 0.5000  4 Sb 3.09, 4 Na 3.34
5 Na 0.7500 0.2500 0.5000  4 Sb 3.09, 4 Na 3.34



[5]
K2IrRuPb: optimized geometry, PBEsol.

energy relative to the elements: 7.9 eV/f.u.
magnetic moment: 3.16 μB per cell
E_tot: -18.31 eV/cell

abc: 5.1029 5.8537 5.8537
angles: 90.00 90.00 90.00
Closest atoms and distances in Å follow each position.
Sites, in units of the cell vectors:
1 Pb 0.5000 0.0000 0.0000  2 Ir 2.55
2 Ru 0.5000 0.5000 0.5000  8 K 3.88, 4 Pb 4.14
3 K 0.0000 0.0000 0.5000  2 Ir 2.93
4 K 0.0000 0.5000 0.0000  2 Ir 2.93
5 Ir 0.0000 0.0000 0.0000  2 Pb 2.55



[6]
GePPtCl2: optimized geometry, PBEsol.

ΔE_f (raw): 0.763 eV/atom
magnetic moment: 0.54 μB per cell
relative energy among the computed polymorphs: 492 meV/atom
E_tot: -17.90 eV/cell

abc: 4.5112 4.5112 5.0229
angles: 90.00 90.00 90.00
Closest atoms and distances in Å follow each position.
Sites, in units of the cell vectors:
1 P 0.0000 0.0000 0.5000  2 Ge 2.51
2 Ge 0.0000 0.0000 0.0000  4 Cl 2.26, 2 P 2.51
3 Pt 0.5000 0.5000 0.5000  4 P 3.19, 8 Cl 3.38
4 Cl 0.0000 0.5000 0.0000  2 Ge 2.26
5 Cl 0.5000 0.0000 0.0000  2 Ge 2.26



Number 1: N(E_F) 0.00 states/eV per atom. Number 2: N(E_F) 0.95 states/eV per atom. Number 3: N(E_F) 0.33 states/eV per atom. Number 4: N(E_F) 0.38 states/eV per atom. Number 5: N(E_F) 1.10 states/eV per atom. Number 6: N(E_F) 0.95 states/eV per atom.